Material: LaSeBr3
Method: DFT, PBEsol
State: relaxed

SG = Pm-3m (221)
Raw formation energy = -4.7 eV per formula unit

Unit cell a=5.768 b=5.768 c=5.768 alpha=90.00 beta=90.00 gamma=90.00
Fractional positions:
Br (0.500, 0.000, 0.000)
Br (0.000, 0.500, 0.000)
Br (0.000, 0.000, 0.500)
La (0.000, 0.000, 0.000)
Se (0.500, 0.500, 0.500)

=====

Material: CaYBr2
Method: DFT, PBEsol
State: relaxed

SG = R-3m (166)
Raw formation energy = -4.7 eV per formula unit
Energy relative to the lowest polymorph listed for this composition = 0 meV/atom

Unit cell a=3.712 b=3.712 c=10.174 alpha=79.49 beta=79.49 gamma=60.00
Fractional positions:
Br (0.899, 0.899, 0.302)
Br (0.101, 0.101, 0.698)
Y (0.500, 0.500, 0.500)
Ca (0.000, 0.000, 0.000)

=====

Material: SiMo2Br
Method: DFT, PBEsol
State: relaxed

SG = I-42d (122)
Raw formation energy = 4.7 eV per formula unit

Unit cell a=5.967 b=5.967 c=6.238 alpha=118.57 beta=118.57 gamma=90.00
Fractional positions:
Si (0.750, 0.250, 0.500)
Br (0.250, 0.750, 0.500)
Mo (0.125, 0.131, 0.750)
Mo (0.381, 0.875, 0.250)
Si (0.500, 0.500, 0.000)
Mo (0.625, 0.619, 0.750)
Mo (0.869, 0.375, 0.250)
Br (0.000, 0.000, 0.000)